1.
Compound: FeRhC
Source: Alexandria via LeMat-Bulk
Functional: GGA-PBE
Structure: relaxed

Output
Energy of formation from the pure elements: 0.300 eV/atom
Crystal system: tetragonal
VASP energy: -24.14 eV for the cell shown
Spin magnetization: 2.521 μB/f.u.
D(E_F): 0.8205 states/eV/atom

Cell: 2.835 2.835 4.054 Å, 90.00 90.00 90.00°
Site moments in Bohr magnetons follow the coordinates.
Positions (direct):
Fe (0.000, 0.000, 0.500)  2.25
Rh (0.500, 0.500, 0.000)  0.34
C (0.500, 0.500, 0.500)  -0.05

=====

2.
Compound: FeRhC
Source: Alexandria via LeMat-Bulk
Functional: GGA-PBE
Structure: relaxed

Output
Energy of formation from the pure elements: 0.571 eV/atom
Crystal system: triclinic
VASP energy: -23.33 eV for the cell shown
Spin magnetization: 0.354 μB/f.u.
D(E_F): 0.9026 states/eV/atom

Cell: 2.734 2.797 4.850 Å, 102.74 105.92 90.10°
Site moments in Bohr magnetons follow the coordinates.
Positions (direct):
Rh (0.974, 0.210, 0.837)  -0.01
C (0.812, 0.623, 0.516)  -0.03
Fe (0.683, 0.047, 0.264)  0.41

=====

3.
Compound: Fe2RhC
Source: Alexandria via LeMat-Bulk
Functional: GGA-PBE
Structure: relaxed

Output
Energy of formation from the pure elements: 0.381 eV/atom
Crystal system: tetragonal
VASP energy: -63.96 eV for the cell shown
Spin magnetization: 0.000 μB/f.u.
D(E_F): 1.5533 states/eV/atom

Cell: 6.118 6.118 4.883 Å, 51.21 51.21 90.00°
Positions (direct):
C (0.250, 0.750, 0.500)
C (0.500, 0.500, 0.000)
Rh (0.750, 0.250, 0.500)
Rh (0.000, 0.000, 0.000)
Fe (0.375, 0.469, 0.750)
Fe (0.875, 0.781, 0.750)
Fe (0.219, 0.625, 0.250)
Fe (0.531, 0.125, 0.250)

=====

4.
Compound: Fe4RhC
Source: Alexandria via LeMat-Bulk
Functional: GGA-PBE
Structure: relaxed

Output
Energy of formation from the pure elements: 0.096 eV/atom
Crystal system: monoclinic
VASP energy: -49.85 eV for the cell shown
Spin magnetization: 8.998 μB/f.u.
D(E_F): 0.8780 states/eV/atom

Cell: 2.698 3.926 6.681 Å, 107.12 85.49 90.01°
Site moments in Bohr magnetons follow the coordinates.
Positions (direct):
C (0.887, 0.998, 0.582)  -0.14
Fe (0.343, 0.101, 0.788)  1.72
Fe (0.873, 0.494, 0.574)  2.30
Rh (0.804, 0.701, 0.989)  0.68
Fe (0.168, 0.298, 0.184)  2.78
Fe (0.432, 0.893, 0.372)  1.78

=====

5.
Compound: FeRhC
Source: Alexandria via LeMat-Bulk
Functional: GGA-PBE
Structure: relaxed

Output
Energy of formation from the pure elements: 0.305 eV/atom
Crystal system: monoclinic
VASP energy: -48.25 eV for the cell shown
Spin magnetization: 0.000 μB/f.u.
D(E_F): 0.8232 states/eV/atom

Cell: 4.482 2.766 6.215 Å, 90.00 124.02 90.00°
Positions (direct):
Rh (0.474, 0.000, 0.538)
Rh (0.474, 0.500, 0.038)
C (0.065, 0.500, 0.278)
Fe (0.969, 0.500, 0.540)
C (0.065, 0.000, 0.778)
Fe (0.969, 0.000, 0.040)

=====

6.
Compound: FeRhC
Source: Alexandria via LeMat-Bulk
Functional: GGA-PBE
Structure: relaxed

Output
Energy of formation from the pure elements: 0.355 eV/atom
Crystal system: hexagonal
VASP energy: -23.97 eV for the cell shown
Spin magnetization: 1.366 μB/f.u.
D(E_F): 0.8868 states/eV/atom

Cell: 3.184 3.184 4.055 Å, 90.00 90.00 120.00°
Site moments in Bohr magnetons follow the coordinates.
Positions (direct):
Rh (0.000, 0.000, 0.000)  0.28
C (0.000, 0.000, 0.500)  -0.10
Fe (0.667, 0.333, 0.500)  1.21

=====

7.
Compound: FeSb2RhC
Source: Alexandria via LeMat-Bulk
Functional: GGA-PBE
Structure: relaxed

Output
Energy relative to the elements, uncorrected: 973.6 meV per atom
Crystal system: tetragonal
VASP energy: -28.41 eV for the cell shown
Spin magnetization: 3.172 μB/f.u.
D(E_F): 1.2121 states/eV/atom

Cell: 5.328 3.707 5.328 Å, 90.00 90.00 90.00°
Site moments in Bohr magnetons follow the coordinates.
Positions (direct):
C (0.000, 0.500, 0.000)  0.03
Sb (0.000, 0.000, 0.500)  -0.03
Rh (0.000, 0.000, 0.000)  -0.04
Fe (0.500, 0.500, 0.500)  3.13
Sb (0.500, 0.000, 0.000)  -0.03

=====

8.
Compound: ScFeRh2C
Source: Alexandria via LeMat-Bulk
Functional: GGA-PBE
Structure: relaxed

Output
Energy of formation from the pure elements: -0.370 eV/atom
Crystal system: tetragonal
VASP energy: -40.57 eV for the cell shown
Spin magnetization: 0.950 μB/f.u.
D(E_F): 0.8315 states/eV/atom

Cell: 4.110 4.110 3.856 Å, 90.00 90.00 90.00°
Site moments in Bohr magnetons follow the coordinates.
Positions (direct):
Fe (0.000, 0.000, 0.500)  1.07
C (0.000, 0.000, 0.000)  -0.05
Rh (0.500, 0.000, 0.000)  0.08
Sc (0.500, 0.500, 0.500)  -0.12
Rh (0.000, 0.500, 0.000)  0.08

=====

9.
Compound: FeSiRh2C
Source: Alexandria via LeMat-Bulk
Functional: GGA-PBE
Structure: relaxed

Output
Energy relative to the elements, uncorrected: 451.6 meV per atom
Crystal system: tetragonal
VASP energy: -35.55 eV for the cell shown
Spin magnetization: 4.107 μB/f.u.
D(E_F): 1.3025 states/eV/atom

Cell: 4.161 3.669 4.161 Å, 90.00 90.00 90.00°
Site moments in Bohr magnetons follow the coordinates.
Positions (direct):
Fe (0.500, 0.500, 0.500)  3.01
Rh (0.500, 0.000, 0.000)  0.58
C (0.000, 0.000, 0.000)  0.01
Si (0.000, 0.500, 0.000)  -0.02
Rh (0.000, 0.000, 0.500)  0.52

=====

10.
Compound: Ta2FeRhC
Source: Alexandria via LeMat-Bulk
Functional: GGA-PBE
Structure: relaxed

Output
Energy of formation from the pure elements: -0.280 eV/atom
Crystal system: tetragonal
VASP energy: -50.14 eV for the cell shown
Spin magnetization: 1.225 μB/f.u.
D(E_F): 0.8785 states/eV/atom

Cell: 4.286 4.286 3.740 Å, 90.00 90.00 90.00°
Site moments in Bohr magnetons follow the coordinates.
Positions (direct):
Fe (0.000, 0.000, 0.500)  1.33
Ta (0.500, 0.000, 0.000)  -0.03
C (0.000, 0.000, 0.000)  0.00
Rh (0.500, 0.500, 0.500)  0.05
Ta (0.000, 0.500, 0.000)  -0.03

=====

11.
Compound: FeTeRhC2
Source: Alexandria via LeMat-Bulk
Functional: GGA-PBE
Structure: relaxed

Output
Energy relative to the elements, uncorrected: 1264.1 meV per atom
Crystal system: tetragonal
VASP energy: -31.08 eV for the cell shown
Spin magnetization: 0.000 μB/f.u.
D(E_F): 0.5816 states/eV/atom

Cell: 3.676 5.525 3.676 Å, 90.00 90.00 90.00°
Positions (direct):
Rh (0.500, 0.500, 0.500)
Fe (0.000, 0.000, 0.000)
C (0.000, 0.000, 0.500)
Te (0.000, 0.500, 0.000)
C (0.500, 0.000, 0.000)

=====

12.
Compound: TiFe2RhC
Source: Alexandria via LeMat-Bulk
Functional: GGA-PBE
Structure: relaxed

Output
Energy of formation from the pure elements: -0.204 eV/atom
Crystal system: tetragonal
VASP energy: -42.41 eV for the cell shown
Spin magnetization: 0.808 μB/f.u.
D(E_F): 0.9262 states/eV/atom

Cell: 3.727 3.727 4.159 Å, 90.00 90.00 90.00°
Site moments in Bohr magnetons follow the coordinates.
Positions (direct):
Ti (0.000, 0.000, 0.500)  -0.10
Rh (0.500, 0.500, 0.500)  0.04
Fe (0.000, 0.500, 0.000)  0.47
Fe (0.500, 0.000, 0.000)  0.47
C (0.000, 0.000, 0.000)  -0.02